# 1
The following is a PBE calculation of crystalline Ce2NdSi at its relaxed geometry, from Alexandria.

abc: 3.7469 3.7469 10.4003
angles: 79.62 79.62 60.00
Positions (direct):
Si 0.5000 0.5000 0.5000
Ce 0.1068 0.1068 0.6796
Ce 0.8932 0.8932 0.3204
Nd 0.0000 0.0000 0.0000

- E above lowest polymorph: 1.55 eV/f.u.
- E: -21.8 eV/f.u.
- Magnetization: 0.39 μB per atom
- DOS(E_F): 9.001 states/eV/f.u.
- Formation energy from raw total energies: 0.06 eV per atom

# 2
The following is a PBE calculation of crystalline CaY6Er5 at its relaxed geometry, from Alexandria.

abc: 5.0465 7.9908 10.0670
angles: 90.00 90.00 71.59
Positions (direct):
Y 0.1697 0.6607 0.2539
Y 0.8303 0.3393 0.7461
Y 0.5000 0.0000 0.2592
Y 0.1697 0.6607 0.7461
Y 0.8303 0.3393 0.2539
Y 0.5000 0.0000 0.7408
Ca 0.0000 0.0000 0.0000
Er 0.3274 0.3453 0.0000
Er 0.6726 0.6547 0.0000
Er 0.3331 0.3338 0.5000
Er 0.6669 0.6662 0.5000
Er 0.0000 0.0000 0.5000

- Calculated formation energy: 61 kJ/mol of formula units
- E: -63.0 eV/f.u.
- Magnetization: 0.00 μB per atom
- DOS(E_F): 18.071 states/eV/f.u.

# 3
The following is a PBE calculation of crystalline La2Pm6PrY at its relaxed geometry, from Alexandria.

abc: 10.0844 8.9567 8.9567
angles: 118.20 94.95 94.95
Positions (direct):
La 0.4592 0.8055 0.7072
La 0.5408 0.1945 0.2928
La 0.0408 0.2928 0.1945
La 0.9592 0.7072 0.8055
Pm 0.0550 0.1198 0.7394
Pm 0.1202 0.7029 0.4941
Pm 0.6202 0.4941 0.7029
Pm 0.6873 0.0196 0.5767
Pm 0.8798 0.2971 0.5059
Pm 0.8127 0.4233 0.9804
Pm 0.9450 0.8802 0.2606
Pm 0.3798 0.5059 0.2971
Pm 0.3127 0.9804 0.4233
Pm 0.5550 0.7394 0.1198
Pm 0.1873 0.5767 0.0196
Pm 0.4450 0.2606 0.8802
Y 0.7500 0.5945 0.4055
Y 0.2500 0.4055 0.5945
Pr 0.2500 0.9868 0.0132
Pr 0.7500 0.0132 0.9868

- Calculated formation energy: 103 kJ/mol of formula units
- E: -48.5 eV/f.u.
- Magnetization: 0.00 μB per atom
- DOS(E_F): 15.072 states/eV/f.u.

# 4
The following is a PBE calculation of crystalline U3Ru at its relaxed geometry, from Alexandria.

abc: 4.7205 4.7205 4.7205
angles: 60.00 60.00 60.00
Positions (direct):
U 0.0000 0.0000 0.0000
U 0.2500 0.2500 0.2500
U 0.7500 0.7500 0.7500
Ru 0.5000 0.5000 0.5000

- Calculated formation energy: -8 kJ/mol of formula units
- E: -43.2 eV/f.u.
- Magnetization: 0.00 μB per atom
- DOS(E_F): 13.347 states/eV/f.u.

# 5
The following is a PBE calculation of crystalline Cs3Li2I4Cl2 at its relaxed geometry, from Alexandria.

abc: 5.5224 5.5224 15.8967
angles: 100.00 100.00 90.00
Positions (direct):
I 0.0912 0.5912 0.1824
I 0.4088 0.9088 0.8176
I 0.5912 0.0912 0.1824
I 0.9088 0.4088 0.8176
Cl 0.3014 0.3014 0.6028
Cl 0.6986 0.6986 0.3972
Cs 0.8102 0.8102 0.6205
Cs 0.1898 0.1898 0.3795
Cs 0.0000 0.0000 0.0000
Li 0.3761 0.3761 0.7523
Li 0.6239 0.6239 0.2477

- E: -31.7 eV/f.u.
- Magnetization: 0.00 μB per atom
- DOS(E_F): 6.207 states/eV/f.u.
- Formation energy from raw total energies: -1.40 eV per atom

# 6
The following is a PBE calculation of crystalline YTcSbAs2 at its relaxed geometry, from Alexandria.

abc: 5.2301 4.8531 5.2301
angles: 90.00 90.00 90.00
Positions (direct):
As 0.5000 0.0000 0.0000
As 0.0000 0.0000 0.5000
Tc 0.0000 0.5000 0.0000
Sb 0.0000 0.0000 0.0000
Y 0.5000 0.5000 0.5000

- E: -26.5 eV/f.u.
- Magnetization: 0.00 μB per atom
- DOS(E_F): 4.185 states/eV/f.u.
- Formation energy from raw total energies: 0.75 eV per atom

# 7
The following is a PBE calculation of crystalline CsTeAs3 at its relaxed geometry, from Alexandria.

abc: 5.5230 5.5230 5.5230
angles: 90.00 90.00 90.00
Positions (direct):
As 0.0000 0.0000 0.5000
As 0.0000 0.5000 0.0000
As 0.5000 0.0000 0.0000
Cs 0.5000 0.5000 0.5000
Te 0.0000 0.0000 0.0000

- E above lowest polymorph: 0.00 eV/f.u.
- E: -15.6 eV/f.u.
- Magnetization: 0.00 μB per atom
- DOS(E_F): 8.645 states/eV/f.u.
- Formation energy from raw total energies: 0.48 eV per atom

# 8
The following is a PBE calculation of crystalline LiAc2ZrSe6 at its relaxed geometry, from Alexandria.

abc: 6.6399 7.9260 10.1633
angles: 90.00 91.26 90.00
Positions (direct):
Se 0.6637 0.3215 0.5493
Se 0.8348 0.8062 0.5489
Se 0.1652 0.1938 0.4511
Se 0.4005 0.9780 0.7452
Se 0.0995 0.4780 0.7548
Se 0.3348 0.6938 0.0489
Se 0.6652 0.3062 0.9511
Se 0.1637 0.1785 0.0493
Se 0.5995 0.0220 0.2548
Se 0.8363 0.8215 0.9507
Se 0.3363 0.6785 0.4507
Se 0.9005 0.5220 0.2452
Ac 0.5487 0.6063 0.7514
Ac 0.0487 0.8937 0.2514
Ac 0.4513 0.3937 0.2486
Ac 0.9513 0.1063 0.7486
Zr 0.0000 0.5000 0.5000
Zr 0.5000 0.0000 0.0000
Li 0.5000 0.0000 0.5000
Li 0.0000 0.5000 0.0000

- E: -55.4 eV/f.u.
- Magnetization: 0.00 μB per atom
- DOS(E_F): 6.248 states/eV/f.u.
- Formation energy from raw total energies: -1.58 eV per atom